# TiSIN2, relaxed, DFT GGA-PBEsol
# Fermi-level density of states: 4.54 states/eV/cell
# polymorph energy (0 for the lowest one): 21.474 kcal/mol of atoms
# raw total energy: -24.3 eV/cell
# total magnetic moment: 1.2 μB/cell
data_TiSIN2
_cell_length_a 3.685
_cell_length_b 3.685
_cell_length_c 5.960
_cell_angle_alpha 90.00
_cell_angle_beta 90.00
_cell_angle_gamma 90.00
_symmetry_space_group_name_H-M 'P 4/m m m'
_symmetry_Int_Tables_number 123
_symmetry_space_group_name_Hall '-P 4 2'
loop_
_atom_site_label
_atom_site_type_symbol
_atom_site_fract_x
_atom_site_fract_y
_atom_site_fract_z
_atom_site_occupancy
Ti1 Ti 0.000 0.000 0.000 1
S1 S 0.500 0.500 0.500 1
I1 I 0.500 0.500 0.000 1
N1 N 0.000 0.500 0.500 1

# TiS2IN, relaxed, DFT GGA-PBEsol
# Fermi-level density of states: 4.16 states/eV/cell
# raw total energy: -27.2 eV/cell
# total magnetic moment: 0.5 μB/cell
data_TiS2IN
_cell_length_a 4.874
_cell_length_b 4.874
_cell_length_c 3.788
_cell_angle_alpha 90.00
_cell_angle_beta 90.00
_cell_angle_gamma 90.00
_symmetry_space_group_name_H-M 'P 4/m m m'
_symmetry_Int_Tables_number 123
_symmetry_space_group_name_Hall '-P 4 2'
loop_
_atom_site_label
_atom_site_type_symbol
_atom_site_fract_x
_atom_site_fract_y
_atom_site_fract_z
_atom_site_occupancy
Ti1 Ti 0.000 0.000 0.000 1
S1 S 0.000 0.500 0.000 1
I1 I 0.500 0.500 0.500 1
N1 N 0.000 0.000 0.500 1

# ZnS2IN, relaxed, DFT GGA-PBEsol
# Fermi-level density of states: 2.05 states/eV/cell
# raw total energy: -14.5 eV/cell
# total magnetic moment: 0.0 μB/cell
data_ZnS2IN
_cell_length_a 5.107
_cell_length_b 5.107
_cell_length_c 3.883
_cell_angle_alpha 90.00
_cell_angle_beta 90.00
_cell_angle_gamma 90.00
_symmetry_space_group_name_H-M 'P 4/m m m'
_symmetry_Int_Tables_number 123
_symmetry_space_group_name_Hall '-P 4 2'
loop_
_atom_site_label
_atom_site_type_symbol
_atom_site_fract_x
_atom_site_fract_y
_atom_site_fract_z
_atom_site_occupancy
Zn1 Zn 0.000 0.000 0.000 1
S1 S 0.000 0.500 0.500 1
I1 I 0.500 0.500 0.500 1
N1 N 0.500 0.500 0.000 1